The following is a DFT calculation (GGA-PBE) of Ce2NpCuSe5 after structural relaxation.

Values from the calculation:
The formation energy without anion corrections is -1184 kJ/mol of formula units. The value obtained for the total magnetization is 0.6559 μB per atom.

Cell: 4.0543 8.8677 12.4170 Å, 90.00 90.00 103.21°
Site moments in Bohr magnetons follow the coordinates.
Element x y z (fractional)
Se 0.4951 0.9902 0.7474  -0.04
Se 0.9833 0.9667 0.5175  -0.07
Se 0.6882 0.3764 0.8598  -0.07
Se 0.6534 0.3068 0.5201  -0.05
Se 0.5049 0.0098 0.2474  -0.04
Se 0.6961 0.3922 0.1892  -0.07
Se 0.0167 0.0333 0.0175  -0.07
Se 0.3466 0.6932 0.0201  -0.05
Se 0.3118 0.6236 0.3598  -0.07
Se 0.3039 0.6078 0.6892  -0.07
Ce 0.1187 0.2373 0.6955  0.94
Ce 0.1130 0.2261 0.3469  0.95
Ce 0.8870 0.7739 0.8469  0.95
Ce 0.8813 0.7627 0.1955  0.94
Np 0.8194 0.6387 0.5255  3.83
Np 0.1806 0.3613 0.0255  3.83
Cu 0.4481 0.8961 0.4222  -0.04
Cu 0.5519 0.1039 0.9222  -0.04

=====

The following is a DFT calculation (GGA-PBE) of CeCuO after structural relaxation.

Values from the calculation:
The formation energy without anion corrections is -478 kJ/mol of formula units. The value obtained for the total magnetization is 0.3544 μB per atom.

Cell: 3.9355 3.9269 8.3135 Å, 90.66 90.00 120.07°
Site moments in Bohr magnetons follow the coordinates.
Element x y z (fractional)
Cu 0.8326 0.6652 0.9553  -0.01
Cu 0.1674 0.3348 0.0447  -0.01
O 0.8350 0.6701 0.6064  -0.02
O 0.1650 0.3299 0.3936  -0.02
Ce 0.8305 0.6610 0.3181  0.85
Ce 0.1695 0.3390 0.6819  0.85

=====

The following is a DFT calculation (GGA-PBE) of Ce3Cu5O12 after structural relaxation.

Values from the calculation:
The formation energy without anion corrections is -3315 kJ/mol of formula units. The value obtained for the total magnetization is 0.0002 μB per atom.

Cell: 10.7959 10.7959 10.7959 Å, 109.47 109.47 109.47°
Element x y z (fractional)
O 0.5337 0.3278 0.9073
O 0.8278 0.9204 0.2941
O 0.7059 0.5796 0.1722
O 0.5337 0.2059 0.1264
O 0.4073 0.3736 0.5796
O 0.1264 0.7059 0.5337
O 0.1264 0.4204 0.0927
O 0.2059 0.6722 0.0796
O 0.6722 0.4663 0.5927
O 0.5927 0.6264 0.4204
O 0.1722 0.0927 0.9663
O 0.2941 0.8736 0.9663
O 0.8736 0.2941 0.4663
O 0.6264 0.5927 0.9204
O 0.9663 0.5927 0.1722
O 0.9073 0.8278 0.5337
O 0.4204 0.2941 0.3278
O 0.1722 0.0796 0.7059
O 0.5796 0.8736 0.4073
O 0.4073 0.0337 0.3278
O 0.7941 0.3278 0.9204
O 0.5796 0.7059 0.6722
O 0.0796 0.1722 0.2059
O 0.7059 0.1264 0.0337
O 0.0927 0.9204 0.1264
O 0.3278 0.5337 0.4073
O 0.0927 0.1722 0.4663
O 0.8278 0.9073 0.0337
O 0.4204 0.1264 0.5927
O 0.4663 0.7941 0.8736
O 0.6264 0.0337 0.2059
O 0.4663 0.6722 0.0927
O 0.9204 0.0927 0.6264
O 0.0796 0.9073 0.3736
O 0.7941 0.4663 0.3736
O 0.0337 0.6264 0.7059
O 0.3736 0.9663 0.7941
O 0.2941 0.4204 0.8278
O 0.3736 0.4073 0.0796
O 0.2059 0.5337 0.6264
O 0.5927 0.9663 0.6722
O 0.9663 0.3736 0.2941
O 0.9073 0.0796 0.8736
O 0.0337 0.4073 0.8278
O 0.8736 0.5796 0.9073
O 0.9204 0.8278 0.7941
O 0.3278 0.7941 0.4204
O 0.6722 0.2059 0.5796
Cu 0.0000 0.0000 0.5000
Cu 0.3750 0.2500 0.1250
Cu 0.0000 0.0000 0.0000
Cu 0.8750 0.2500 0.6250
Cu 0.6250 0.8750 0.2500
Cu 0.1250 0.7500 0.3750
Cu 0.1250 0.3750 0.2500
Cu 0.8750 0.6250 0.7500
Cu 0.5000 0.5000 0.0000
Cu 0.2500 0.3750 0.6250
Cu 0.0000 0.5000 0.0000
Cu 0.0000 0.5000 0.5000
Cu 0.3750 0.1250 0.7500
Cu 0.7500 0.6250 0.3750
Cu 0.5000 0.0000 0.5000
Cu 0.5000 0.0000 0.0000
Cu 0.7500 0.1250 0.8750
Cu 0.2500 0.8750 0.1250
Cu 0.6250 0.7500 0.8750
Cu 0.5000 0.5000 0.5000
Ce 0.2500 0.1250 0.3750
Ce 0.2500 0.6250 0.8750
Ce 0.8750 0.7500 0.1250
Ce 0.6250 0.3750 0.7500
Ce 0.8750 0.1250 0.2500
Ce 0.7500 0.3750 0.1250
Ce 0.1250 0.8750 0.7500
Ce 0.7500 0.8750 0.6250
Ce 0.1250 0.2500 0.8750
Ce 0.6250 0.2500 0.3750
Ce 0.3750 0.6250 0.2500
Ce 0.3750 0.7500 0.6250

=====

The following is a DFT calculation (GGA-PBE) of CeCuO3 after structural relaxation.

Values from the calculation:
The formation energy without anion corrections is -923 kJ/mol of formula units. The value obtained for the total magnetization is 0.1200 μB per atom.

Cell: 3.8346 3.8346 3.8346 Å, 90.00 90.00 90.00°
Site moments in Bohr magnetons follow the coordinates.
Element x y z (fractional)
Ce 0.5000 0.5000 0.5000  0.63
O 0.0000 0.0000 0.5000  -0.02
O 0.5000 0.0000 0.0000  -0.02
O 0.0000 0.5000 0.0000  -0.02
Cu 0.0000 0.0000 0.0000  -0.01

=====

The following is a DFT calculation (GGA-PBE) of Ce2CuO after structural relaxation.

Values from the calculation:
The formation energy without anion corrections is -347 kJ/mol of formula units. The value obtained for the total magnetization is 0.2062 μB per atom.

Cell: 3.2012 3.2012 9.1229 Å, 79.90 79.90 60.00°
Site moments in Bohr magnetons follow the coordinates.
Element x y z (fractional)
Ce 0.1077 0.1077 0.6768  0.32
Ce 0.8923 0.8923 0.3232  0.32
Cu 0.0000 0.0000 0.0000  0.00
O 0.5000 0.5000 0.5000  -0.01

=====

The following is a DFT calculation (GGA-PBE) of CeCuP2O8 after structural relaxation.

Values from the calculation:
The formation energy without anion corrections is -2505 kJ/mol of formula units. The value obtained for the total magnetization is 0.0740 μB per atom.

Cell: 5.1518 5.1518 6.6290 Å, 90.00 90.00 120.00°
Site moments in Bohr magnetons follow the coordinates.
Element x y z (fractional)
Cu 0.0000 0.0000 0.5000  0.70
O 0.8301 0.1658 0.2849  0.05
O 0.8342 0.6644 0.2849  0.05
O 0.3333 0.6667 0.0175  0.05
O 0.1658 0.3356 0.7151  0.05
O 0.1699 0.8342 0.7151  0.05
O 0.3356 0.1699 0.2849  0.05
O 0.6644 0.8301 0.7151  0.05
O 0.6667 0.3333 0.9825  0.05
P 0.6667 0.3333 0.2150  0.00
P 0.3333 0.6667 0.7850  0.00
Ce 0.0000 0.0000 0.0000  -0.22

=====

The following is a DFT calculation (GGA-PBE) of Ce3Cu4P4O2 after structural relaxation.

Values from the calculation:
The formation energy without anion corrections is -1788 kJ/mol of formula units. The value obtained for the total magnetization is 0.1093 μB per atom.

Cell: 3.9013 3.9013 13.6709 Å, 98.20 98.20 90.00°
Site moments in Bohr magnetons follow the coordinates.
Element x y z (fractional)
Cu 0.4022 0.9022 0.8044  0.00
Cu 0.9022 0.4022 0.8044  0.00
Cu 0.5978 0.0978 0.1956  0.00
Cu 0.0978 0.5978 0.1956  0.00
P 0.4556 0.4556 0.9112  -0.01
P 0.8537 0.8537 0.7074  -0.02
P 0.1463 0.1463 0.2926  -0.02
P 0.5444 0.5444 0.0888  -0.01
Ce 0.7025 0.7025 0.4050  0.51
Ce 0.2975 0.2975 0.5950  0.51
Ce 0.0000 0.0000 0.0000  0.34
O 0.2500 0.7500 0.5000  -0.02
O 0.7500 0.2500 0.5000  -0.02

=====

The following is a DFT calculation (GGA-PBE) of CePaCu2O8 after structural relaxation.

Values from the calculation:
The formation energy without anion corrections is -2158 kJ/mol of formula units. The value obtained for the total magnetization is 0.2969 μB per atom.

Cell: 5.9835 5.9835 5.9835 Å, 108.24 108.24 111.95°
Site moments in Bohr magnetons follow the coordinates.
Element x y z (fractional)
O 0.9456 0.6347 0.6891  0.21
O 0.9456 0.2565 0.3109  0.21
O 0.2968 0.4759 0.1791  0.24
O 0.3653 0.0544 0.3109  0.21
O 0.7435 0.0544 0.6891  0.21
O 0.8823 0.7032 0.1791  0.24
O 0.2968 0.1177 0.8209  0.24
O 0.5241 0.7032 0.8209  0.24
Cu 0.7500 0.2500 0.5000  0.66
Cu 0.5000 0.5000 0.0000  0.68
Ce 0.2500 0.7500 0.5000  0.07
Pa 0.0000 0.0000 0.0000  0.06

=====

The following is a DFT calculation (GGA-PBE) of CeCu3Pd4O12 after structural relaxation.

Values from the calculation:
The formation energy without anion corrections is -1613 kJ/mol of formula units. The value obtained for the total magnetization is 0.0067 μB per atom.

Cell: 6.6079 6.6079 6.6079 Å, 109.47 109.47 109.47°
Site moments in Bohr magnetons follow the coordinates.
Element x y z (fractional)
O 0.5366 0.6967 0.8399  0.00
O 0.8399 0.5366 0.6967  0.00
O 0.8399 0.1431 0.3033  0.00
O 0.6967 0.1601 0.8569  0.00
O 0.3033 0.1601 0.4634  0.00
O 0.4634 0.3033 0.1601  0.00
O 0.3033 0.8399 0.1431  0.00
O 0.6967 0.8399 0.5366  0.00
O 0.1431 0.3033 0.8399  0.00
O 0.1601 0.8569 0.6967  0.00
O 0.8569 0.6967 0.1601  0.00
O 0.1601 0.4634 0.3033  0.00
Pd 0.0000 0.0000 0.5000  0.00
Pd 0.5000 0.5000 0.5000  0.00
Pd 0.0000 0.5000 0.0000  0.00
Pd 0.5000 0.0000 0.0000  0.00
Cu 0.0000 0.5000 0.5000  0.01
Cu 0.5000 0.0000 0.5000  0.01
Cu 0.5000 0.5000 0.0000  0.01
Ce 0.0000 0.0000 0.0000  0.14

=====

The following is a DFT calculation (GGA-PBE) of CePuCuO6 after structural relaxation.

Values from the calculation:
The formation energy without anion corrections is -1995 kJ/mol of formula units. The value obtained for the total magnetization is 0.1107 μB per atom.

Cell: 5.2928 5.2928 10.1548 Å, 90.00 90.00 120.00°
Site moments in Bohr magnetons follow the coordinates.
Element x y z (fractional)
Pu 0.3333 0.6667 0.7500  2.13
Pu 0.6667 0.3333 0.2500  2.13
O 0.0096 0.3505 0.6357  -0.11
O 0.3408 0.3505 0.8643  -0.11
O 0.9904 0.6495 0.3643  -0.11
O 0.3505 0.3408 0.3643  -0.11
O 0.3408 0.9904 0.6357  -0.11
O 0.9904 0.3408 0.1357  -0.11
O 0.6495 0.9904 0.8643  -0.11
O 0.0096 0.6592 0.8643  -0.11
O 0.6495 0.6592 0.6357  -0.11
O 0.6592 0.0096 0.3643  -0.11
O 0.3505 0.0096 0.1357  -0.11
O 0.6592 0.6495 0.1357  -0.11
Ce 0.0000 0.0000 0.5000  -0.01
Ce 0.0000 0.0000 0.0000  -0.01
Cu 0.6667 0.3333 0.7500  -0.43
Cu 0.3333 0.6667 0.2500  -0.43

=====

The following is a DFT calculation (GGA-PBE) of Rb3Ce3CuO8 after structural relaxation.

Values from the calculation:
The formation energy without anion corrections is -3422 kJ/mol of formula units. The value obtained for the total magnetization is 0.0169 μB per atom.

Cell: 7.0721 7.0698 7.6832 Å, 117.41 90.00 120.01°
Site moments in Bohr magnetons follow the coordinates.
Element x y z (fractional)
O 0.7270 0.4540 0.6808  0.00
O 0.2730 0.5460 0.3192  0.00
O 0.7676 0.5352 0.3338  -0.01
O 0.2328 0.9339 0.6665  -0.01
O 0.2990 0.0661 0.3335  -0.01
O 0.7010 0.9339 0.6665  -0.01
O 0.7672 0.0661 0.3335  -0.01
O 0.2324 0.4648 0.6662  -0.01
Ce 0.5000 0.0000 0.5000  0.11
Ce 0.0000 0.5000 0.5000  0.11
Ce 0.5000 0.5000 0.5000  0.11
Cu 0.0000 0.0000 0.5000  -0.04
Rb 0.5000 0.5000 0.0000  0.00
Rb 0.0000 0.0000 0.0000  0.00
Rb 0.0000 0.5000 0.0000  0.00

=====

The following is a DFT calculation (GGA-PBE) of RbCeCuO3 after structural relaxation.

Values from the calculation:
The formation energy without anion corrections is -1245 kJ/mol of formula units. The value obtained for the total magnetization is 0.0000 μB per atom.

Cell: 3.7120 7.2740 8.6151 Å, 90.00 90.00 104.78°
Element x y z (fractional)
O 0.5999 0.1998 0.0379
O 0.0418 0.0837 0.7500
O 0.9582 0.9163 0.2500
O 0.4001 0.8002 0.9621
O 0.5999 0.1998 0.4621
O 0.4001 0.8002 0.5379
Cu 0.5965 0.1931 0.2500
Cu 0.4035 0.8069 0.7500
Rb 0.2999 0.5997 0.2500
Rb 0.7001 0.4003 0.7500
Ce 0.0000 0.0000 0.0000
Ce 0.0000 0.0000 0.5000

=====

Number 5 is which compound?
Ce2CuO